This record from Alexandria describes crystalline Mg2ZnSbO6 at its relaxed geometry. The functional is PBE.

Computed properties:
Calculated volume, Å³/atom: 11.5
ΔE_f (raw), eV per atom: -1.765

Lattice parameters (Å, degrees): 5.247 5.171 8.507 90.00 88.81 90.00
Fractional coordinates of all 20 atoms:
Mg1 0.991 0.972 0.209
Mg2 0.509 0.472 0.291
Mg3 0.491 0.528 0.709
Mg4 0.009 0.028 0.791
Zn1 0.000 0.500 0.000
Zn2 0.500 0.000 0.500
Sb1 0.000 0.500 0.500
Sb2 0.500 0.000 0.000
O1 0.845 0.346 0.693
O2 0.831 0.189 0.027
O3 0.821 0.225 0.372
O4 0.679 0.725 0.128
O5 0.669 0.689 0.473
O6 0.655 0.846 0.807
O7 0.345 0.154 0.193
O8 0.331 0.311 0.527
O9 0.321 0.275 0.872
O10 0.169 0.811 0.973
O11 0.179 0.775 0.628
O12 0.155 0.654 0.307